Here is a geometry-optimized Mg2ScOs2 structure from the Alexandria database. Energies are from GGA-PBE.

Lattice parameters (Å, degrees): 7.4318 7.4318 3.1967 90.00 90.00 90.00
Atoms (fractional coordinates):
Mg1 0.1740 0.6740 0.5000
Mg2 0.3260 0.1740 0.5000
Mg3 0.6740 0.8260 0.5000
Mg4 0.8260 0.3260 0.5000
Os1 0.3811 0.8811 0.0000
Os2 0.6189 0.1189 0.0000
Os3 0.1189 0.3811 0.0000
Os4 0.8811 0.6189 0.0000
Sc1 0.5000 0.5000 0.0000
Sc2 0.0000 0.0000 0.0000

Properties
**Formation energy from the elements**: 252 meV/atom
**M_tot**: 0.0 μB/f.u.